No. 1
CaNi2As2: optimized geometry, GGA-PBE.

a = 4.389 Å, b = 4.389 Å, c = 8.982 Å
α = 90.00°, β = 90.00°, γ = 90.00°
Space group I4/mmm (No. 139)
Unique sites:
Ca 0.000 0.000 0.000 (multiplicity 2)
Ni 0.000 0.000 0.360 (multiplicity 4)
As 0.000 0.500 0.250 (multiplicity 4)

Properties
- calculated total energy (eV per atom) = -5.07

No. 2
LiBi8Pt2: optimized geometry, GGA-PBE.

a = 13.649 Å, b = 8.738 Å, c = 5.614 Å
α = 90.00°, β = 91.20°, γ = 90.00°
Space group C2/m (No. 12)
Unique sites:
Li 0.000 0.000 0.000 (multiplicity 2)
Bi 0.103 0.295 0.265 (multiplicity 8)
Bi 0.122 0.500 0.773 (multiplicity 4)
Bi 0.205 0.000 0.728 (multiplicity 4)
Pt 0.170 0.000 0.226 (multiplicity 4)

Properties
- calculated total energy (eV per atom) = -4.13

No. 3
Ba2Na5Tl4: optimized geometry, GGA-PBE.

a = 6.525 Å, b = 10.309 Å, c = 11.578 Å
α = 90.00°, β = 90.00°, γ = 90.00°
Space group Immm (No. 71)
Unique sites:
Ba 0.000 0.000 0.216 (multiplicity 4)
Na 0.000 0.500 0.500 (multiplicity 2)
Na 0.247 0.313 0.000 (multiplicity 8)
Tl 0.000 0.337 0.256 (multiplicity 8)

Properties
- calculated total energy (eV per atom) = -1.98

No. 4
K2UAuS5: optimized geometry, GGA-PBE.

a = 3.981 Å, b = 19.172 Å, c = 13.216 Å
α = 90.00°, β = 90.00°, γ = 90.00°
Space group Cmc2_1 (No. 36)
Unique sites:
K 0.000 0.116 0.000 (multiplicity 4)
K 0.000 0.121 0.637 (multiplicity 4)
U 0.000 0.206 0.324 (multiplicity 4)
Au 0.000 0.439 0.747 (multiplicity 4)
S 0.000 0.073 0.354 (multiplicity 4)
S 0.000 0.293 0.695 (multiplicity 4)
S 0.000 0.294 0.951 (multiplicity 4)
S 0.000 0.333 0.323 (multiplicity 4)
S 0.000 0.496 0.593 (multiplicity 4)

Properties
- formation energy without anion corrections (kJ per mole of atoms) = -87

No. 5
CrCdAs2: optimized geometry, GGA-PBE.

a = 6.783 Å, b = 6.783 Å, c = 6.783 Å
α = 90.00°, β = 90.00°, γ = 90.00°
Space group F-43m (No. 216)
Unique sites:
Cr 0.000 0.000 0.000 (multiplicity 4)
Cd 0.250 0.250 0.250 (multiplicity 4)
As 0.000 0.000 0.500 (multiplicity 4)
As 0.250 0.250 0.750 (multiplicity 4)

Properties
- calculated total energy (eV per atom) = -4.50

No. 6
Pr2YC: optimized geometry, GGA-PBE.

a = 3.6560 Å, b = 3.6560 Å, c = 30.1438 Å
α = 90.00°, β = 90.00°, γ = 120.00°
Space group R-3m (No. 166, hexagonal axes)
Unique sites:
Pr 0.0000 0.0000 0.1189 (multiplicity 6)
Y 0.0000 0.0000 0.0000 (multiplicity 3)
C 0.0000 0.0000 0.5000 (multiplicity 3)

Properties
- calculated total energy (eV per atom) = -6.22